{"formula": "KW3O9", "functional": "GGA+U", "state": "optimized geometry", "lattice": [[5.883, 0.000, -0.131], [0.000, 7.765, 0.000], [0.100, 0.000, 8.291]], "species": ["O", "W", "O", "O", "O", "W", "O", "O", "O", "W", "W", "O", "O", "W", "O", "O", "O", "O", "K", "K", "W", "O", "O", "O", "O", "O"], "fractional_positions": [[0.744, 0.495, 0.836], [0.000, 0.500, 0.000], [0.987, 0.750, 0.003], [0.013, 0.250, 0.997], [0.508, 0.750, 0.688], [0.000, 0.000, 0.000], [0.708, 0.493, 0.504], [0.744, 0.005, 0.836], [0.479, 0.250, 0.692], [0.495, 0.001, 0.692], [0.505, 0.501, 0.308], [0.237, 0.511, 0.826], [0.256, 0.505, 0.164], [0.495, 0.499, 0.692], [0.763, 0.489, 0.174], [0.492, 0.250, 0.312], [0.521, 0.750, 0.308], [0.292, 0.993, 0.496], [0.993, 0.750, 0.584], [0.007, 0.250, 0.416], [0.505, 0.999, 0.308], [0.763, 0.011, 0.174], [0.237, 0.989, 0.826], [0.256, 0.995, 0.164], [0.708, 0.007, 0.504], [0.292, 0.507, 0.496]], "total_energy_ev_per_cell": -187.9, "space_group": "P2_1/m", "de_polymorph_mev_per_atom": 8, "m_tot_mub_per_atom": 0.077}